[1]
Compound: Pm8Dy6Tm
Source: Alexandria
Functional: GGA-PBE
Structure: optimized geometry

## Properties
* SG: No. 147
* crystal system: trigonal
* final energy: -4.500 eV/atom

Geometry as CIF:
```
data_Pm8Dy6Tm
_symmetry_space_group_name_H-M 'P 1'
_symmetry_Int_Tables_number 1
_symmetry_space_group_name_Hall 'P 1'
_cell_length_a 9.401
_cell_length_b 9.401
_cell_length_c 6.559
_cell_angle_alpha 90.00
_cell_angle_beta 90.00
_cell_angle_gamma 120.00
loop_
_atom_site_label
_atom_site_type_symbol
_atom_site_fract_x
_atom_site_fract_y
_atom_site_fract_z
Pm1 Pm 0.035 0.285 0.166
Pm2 Pm 0.250 0.965 0.166
Pm3 Pm 0.285 0.250 0.834
Pm4 Pm 0.333 0.667 0.119
Pm5 Pm 0.667 0.333 0.881
Pm6 Pm 0.715 0.750 0.166
Pm7 Pm 0.750 0.035 0.834
Pm8 Pm 0.965 0.715 0.834
Dy1 Dy 0.092 0.436 0.658
Dy2 Dy 0.344 0.908 0.658
Dy3 Dy 0.436 0.344 0.342
Dy4 Dy 0.564 0.656 0.658
Dy5 Dy 0.656 0.092 0.342
Dy6 Dy 0.908 0.564 0.342
Tm1 Tm 0.000 0.000 0.500
```



[2]
Compound: Pm2Dy9Tm
Source: Alexandria
Functional: GGA-PBE
Structure: optimized geometry

## Properties
* SG: No. 191
* excess energy over the best structure of this formula in the dataset: 45 meV/atom
* crystal system: hexagonal
* final energy: -4.549 eV/atom

Geometry as CIF:
```
data_Pm2Dy9Tm
_symmetry_space_group_name_H-M 'P 1'
_symmetry_Int_Tables_number 1
_symmetry_space_group_name_Hall 'P 1'
_cell_length_a 11.238
_cell_length_b 11.238
_cell_length_c 3.487
_cell_angle_alpha 90.00
_cell_angle_beta 90.00
_cell_angle_gamma 120.00
loop_
_atom_site_label
_atom_site_type_symbol
_atom_site_fract_x
_atom_site_fract_y
_atom_site_fract_z
Pm1 Pm 0.333 0.667 0.000
Pm2 Pm 0.667 0.333 0.000
Dy1 Dy 0.000 0.500 0.000
Dy2 Dy 0.173 0.347 0.500
Dy3 Dy 0.173 0.827 0.500
Dy4 Dy 0.347 0.173 0.500
Dy5 Dy 0.500 0.000 0.000
Dy6 Dy 0.500 0.500 0.000
Dy7 Dy 0.653 0.827 0.500
Dy8 Dy 0.827 0.173 0.500
Dy9 Dy 0.827 0.653 0.500
Tm1 Tm 0.000 0.000 0.000
```



[3]
Compound: Pm2Dy6Tm5
Source: Alexandria
Functional: GGA-PBE
Structure: optimized geometry

## Properties
* SG: No. 55
* crystal system: orthorhombic
* final energy: -4.474 eV/atom

Geometry as CIF:
```
data_Pm2Dy6Tm5
_symmetry_space_group_name_H-M 'P 1'
_symmetry_Int_Tables_number 1
_symmetry_space_group_name_Hall 'P 1'
_cell_length_a 11.629
_cell_length_b 20.032
_cell_length_c 3.568
_cell_angle_alpha 90.00
_cell_angle_beta 90.00
_cell_angle_gamma 90.00
loop_
_atom_site_label
_atom_site_type_symbol
_atom_site_fract_x
_atom_site_fract_y
_atom_site_fract_z
Pm1 Pm 0.165 0.214 0.000
Pm2 Pm 0.335 0.714 0.000
Pm3 Pm 0.665 0.286 0.000
Pm4 Pm 0.835 0.786 0.000
Dy1 Dy 0.058 0.921 0.000
Dy2 Dy 0.082 0.634 0.000
Dy3 Dy 0.176 0.372 0.500
Dy4 Dy 0.324 0.872 0.500
Dy5 Dy 0.418 0.134 0.000
Dy6 Dy 0.442 0.421 0.000
Dy7 Dy 0.558 0.579 0.000
Dy8 Dy 0.582 0.866 0.000
Dy9 Dy 0.676 0.128 0.500
Dy10 Dy 0.824 0.628 0.500
Dy11 Dy 0.918 0.366 0.000
Dy12 Dy 0.942 0.079 0.000
Tm1 Tm 0.000 0.500 0.500
Tm2 Tm 0.095 0.777 0.500
Tm3 Tm 0.199 0.051 0.500
Tm4 Tm 0.301 0.551 0.500
Tm5 Tm 0.405 0.277 0.500
Tm6 Tm 0.500 0.000 0.500
Tm7 Tm 0.595 0.723 0.500
Tm8 Tm 0.699 0.449 0.500
Tm9 Tm 0.801 0.949 0.500
Tm10 Tm 0.905 0.223 0.500
```



[4]
Compound: PmDy2Tm
Source: Alexandria
Functional: GGA-PBE
Structure: optimized geometry

## Properties
* SG: No. 166
* excess energy over the best structure of this formula in the dataset: 10 meV/atom
* crystal system: trigonal
* final energy: -4.585 eV/atom

Geometry as CIF:
```
data_PmDy2Tm
_symmetry_space_group_name_H-M 'P 1'
_symmetry_Int_Tables_number 1
_symmetry_space_group_name_Hall 'P 1'
_cell_length_a 11.766
_cell_length_b 11.766
_cell_length_c 11.766
_cell_angle_alpha 17.38
_cell_angle_beta 17.38
_cell_angle_gamma 17.38
loop_
_atom_site_label
_atom_site_type_symbol
_atom_site_fract_x
_atom_site_fract_y
_atom_site_fract_z
Pm1 Pm 0.000 0.000 0.000
Dy1 Dy 0.248 0.248 0.248
Dy2 Dy 0.752 0.752 0.752
Tm1 Tm 0.500 0.500 0.500
```



no.,calculated formation energy (kJ/mol of formula units),calculated volume (Å³ per atom),density of states at the Fermi level (states/eV/atom)
1,250,33.5,1.52
2,77,31.8,1.63
3,126,32.0,1.26
4,8,31.7,1.39